The following is a DFT calculation (PBE) of a relaxed structure of VSiPBr2.

Its uncorrected formation energy is 85.93 kJ/mol of atoms.

It has space group P4/mmm (No. 123), with a = 5.1450 Å, b = 5.1450 Å, c = 4.7769 Å, α = 90.00°, β = 90.00° and γ = 90.00°. The distinct sites, in fractional coordinates, are V at (0.0000, 0.0000, 0.0000), Si at (0.5000, 0.5000, 0.0000), P at (0.0000, 0.0000, 0.5000) and Br at (0.0000, 0.5000, 0.5000).


The following is a DFT calculation (PBE) of a relaxed structure of TbPr3Sm3.

The calculation puts the polymorph energy (0 for the lowest one) at 0 meV/atom.

It has space group R-3 (No. 148, hexagonal axes), with a = 8.8184 Å, b = 8.8184 Å, c = 22.2470 Å, α = 90.00°, β = 90.00° and γ = 120.00°. The distinct sites, in fractional coordinates, are Tb at (0.0000, 0.0000, 0.1531), Pr at (0.0035, 0.7622, 0.5587) and Sm at (0.0520, 0.6029, 0.3806).


The following is a DFT calculation (PBE) of a relaxed structure of BeIn2Br.

Its uncorrected formation energy is 9.80 kJ/mol of atoms. The calculation puts the polymorph energy (0 for the lowest one) at 100 meV/atom.

It has space group C2/m (No. 12), with a = 6.6322 Å, b = 3.8691 Å, c = 7.6952 Å, α = 90.00°, β = 106.61° and γ = 90.00°. The distinct sites, in fractional coordinates, are Be at (0.0000, 0.0000, 0.0000), In at (0.2271, 0.5000, 0.1874) and Br at (0.0000, 0.5000, 0.5000).


Number 1: size of the total moment 3.00 μB/cell, VASP energy -3.7688 eV per atom. Number 2: size of the total moment 0.00 μB/cell, VASP energy -4.5043 eV per atom. Number 3: size of the total moment 0.00 μB/cell, VASP energy -2.6174 eV per atom.